Run w
First-principles (PBE) data for Sm4Zn2Sn after structural relaxation, as listed in Alexandria via LeMat-Bulk.

Cell: 8.9045 8.9045 8.9045 Å, 33.64 33.64 33.64°
With the nearest neighbours (Å) after each atom.
Fractional positions:
Sm1 0.1158 0.1158 0.1158  4 Zn 3.08-3.36, 3 Sn 3.24
Sm2 0.3684 0.3684 0.3684  4 Zn 3.00-3.22, 1 Sn 3.31
Sm3 0.6316 0.6316 0.6316  4 Zn 3.00-3.22, 1 Sn 3.31
Sm4 0.8842 0.8842 0.8842  4 Zn 3.08-3.36, 3 Sn 3.24
Zn1 0.2492 0.2492 0.2492  8 Sm 3.00-3.36
Zn2 0.7508 0.7508 0.7508  8 Sm 3.00-3.36
Sn1 0.5000 0.5000 0.5000  8 Sm 3.24-3.31

Computed properties:
crystal system	trigonal
V	27.58	Å³ per atom
space group	R-3m
total moment	0.000	μB per atom

***

Run x
First-principles (PBE) data for Sm4Zn2Sn after structural relaxation, as listed in Alexandria via LeMat-Bulk.

Cell: 9.8821 9.8821 9.8821 Å, 29.45 29.45 29.45°
With the nearest neighbours (Å) after each atom.
Fractional positions:
Sm1 0.1176 0.1176 0.1176  3 Zn 3.20, 3 Sn 3.22
Sm2 0.3013 0.3013 0.3013  4 Zn 2.89-3.09
Sm3 0.6987 0.6987 0.6987  4 Zn 2.89-3.09
Sm4 0.8824 0.8824 0.8824  3 Zn 3.20, 3 Sn 3.22
Zn1 0.4032 0.4032 0.4032  1 Sn 2.74, 1 Sm 2.89
Zn2 0.5968 0.5968 0.5968  1 Sn 2.74, 1 Sm 2.89
Sn1 0.5000 0.5000 0.5000  2 Zn 2.74

Computed properties:
crystal system	trigonal
V	29.50	Å³ per atom
space group	R-3m
total moment	0.000	μB per atom

***

Name the least stable of them. run x.

***

Run w
First-principles (PBE) data for SmZrSn2 after structural relaxation, as listed in Alexandria via LeMat-Bulk.

Cell: 4.7295 4.7295 4.4520 Å, 90.00 90.00 90.00°
With the nearest neighbours (Å) after each atom.
Fractional positions:
Sm1 0.0000 0.0000 0.0000  8 Sn 3.25, 4 Zr 3.34
Zr1 0.5000 0.5000 0.0000  8 Sn 3.25, 4 Sm 3.34
Sn1 0.0000 0.5000 0.5000  4 Zr 3.25, 4 Sm 3.25, 4 Sn 3.34
Sn2 0.5000 0.0000 0.5000  4 Zr 3.25, 4 Sm 3.25, 4 Sn 3.34

Computed properties:
crystal system	tetragonal
V	24.90	Å³ per atom
space group	P4/mmm
total moment	0.000	μB per atom

***

Run x
First-principles (PBE) data for SmZrSn2 after structural relaxation, as listed in Alexandria via LeMat-Bulk.

Cell: 3.9114 3.9114 6.6426 Å, 90.00 90.00 90.00°
With the nearest neighbours (Å) after each atom.
Fractional positions:
Sm1 0.0000 0.0000 0.0000  2 Zr 3.32, 8 Sn 3.32
Zr1 0.0000 0.0000 0.5000  8 Sn 3.14, 2 Sm 3.32
Sn1 0.5000 0.5000 0.2772  1 Sn 2.96, 4 Zr 3.14
Sn2 0.5000 0.5000 0.7228  1 Sn 2.96, 4 Zr 3.14

Computed properties:
crystal system	tetragonal
V	25.41	Å³ per atom
space group	P4/mmm
total moment	0.000	μB per atom

***

Name the least stable of them. run w.

***

Run w
First-principles (PBE) data for SrSm2Th after structural relaxation, as listed in Alexandria via LeMat-Bulk.

Cell: 13.0097 13.0097 13.0097 Å, 16.15 16.15 16.15°
With the nearest neighbours (Å) after each atom.
Fractional positions:
Sr1 0.0000 0.0000 0.0000  2 Sm 3.61, 6 Sr 3.65
Sm1 0.0937 0.0937 0.0937  3 Th 3.51, 1 Sr 3.61, 6 Sm 3.65
Sm2 0.9063 0.9063 0.9063  3 Th 3.51, 1 Sr 3.61, 6 Sm 3.65
Th1 0.5000 0.5000 0.5000  6 Sm 3.51, 6 Th 3.65

Computed properties:
crystal system	trigonal
V	37.11	Å³ per atom
space group	R-3m
total moment	0.000	μB per atom

***

Run x
First-principles (PBE) data for SrSm2Th after structural relaxation, as listed in Alexandria via LeMat-Bulk.

Cell: 3.7166 3.7166 10.8081 Å, 90.00 90.00 90.00°
With the nearest neighbours (Å) after each atom.
Fractional positions:
Sr1 0.0000 0.0000 0.0000  4 Sr 3.72, 8 Sm 4.04
Sm1 0.5000 0.5000 0.2835  4 Th 3.52, 4 Sm 3.72
Sm2 0.5000 0.5000 0.7165  4 Th 3.52, 4 Sm 3.72
Th1 0.0000 0.0000 0.5000  8 Sm 3.52, 4 Th 3.72

Computed properties:
crystal system	tetragonal
V	37.32	Å³ per atom
space group	P4/mmm
total moment	0.000	μB per atom

***

Name the least stable of them. run w.

***

Run w
First-principles (PBE) data for SrSmTm after structural relaxation, as listed in Alexandria via LeMat-Bulk.

Cell: 8.4554 8.4554 8.4554 Å, 154.45 154.45 36.44°
With the nearest neighbours (Å) after each atom.
Fractional positions:
Sr1 0.0000 0.0000 0.0000  4 Sr 3.74, 4 Tm 3.90, 4 Sm 3.95
Sm1 0.6826 0.6826 0.0000  4 Tm 3.46, 4 Sm 3.74
Tm1 0.3215 0.3215 0.0000  4 Sm 3.46, 4 Tm 3.74

Computed properties:
crystal system	tetragonal
V	37.43	Å³ per atom
space group	I4mm
total moment	0.000	μB per atom

***

Run x
First-principles (PBE) data for SrSmTm after structural relaxation, as listed in Alexandria via LeMat-Bulk.

Cell: 3.7286 3.7286 9.2646 Å, 90.00 90.00 120.00°
With the nearest neighbours (Å) after each atom.
Fractional positions:
Sr1 0.0000 0.0000 0.0000  6 Sr 3.73, 3 Tm 3.87, 3 Sm 3.98
Sm1 0.3333 0.6667 0.6392  3 Tm 3.46, 6 Sm 3.73
Tm1 0.6667 0.3333 0.3469  3 Sm 3.46, 6 Tm 3.73, 3 Sr 3.87

Computed properties:
crystal system	trigonal
V	37.18	Å³ per atom
space group	P3m1
total moment	0.000	μB per atom

***

Name the least stable of them. run x.

***

Run w
First-principles (PBE) data for SrSm2Tm after structural relaxation, as listed in Alexandria via LeMat-Bulk.

Cell: 4.0615 4.0615 9.1590 Å, 90.00 90.00 90.00°
With the nearest neighbours (Å) after each atom.
Fractional positions:
Sr1 0.0000 0.0000 0.0000  8 Sm 3.95, 4 Sr 4.06
Sm1 0.5000 0.5000 0.2968  4 Tm 3.42, 1 Sm 3.72
Sm2 0.5000 0.5000 0.7032  4 Tm 3.42, 1 Sm 3.72
Tm1 0.0000 0.0000 0.5000  8 Sm 3.42

Computed properties:
crystal system	tetragonal
V	37.77	Å³ per atom
space group	P4/mmm
total moment	0.000	μB per atom

***

Run x
First-principles (PBE) data for SrSm2Tm after structural relaxation, as listed in Alexandria via LeMat-Bulk.

Cell: 13.0995 13.0995 13.0995 Å, 15.92 15.92 15.92°
With the nearest neighbours (Å) after each atom.
Fractional positions:
Sr1 0.0000 0.0000 0.0000  6 Sr 3.63, 2 Sm 3.64
Sm1 0.0939 0.0939 0.0939  3 Tm 3.52, 6 Sm 3.63, 1 Sr 3.64
Sm2 0.9061 0.9061 0.9061  3 Tm 3.52, 6 Sm 3.63, 1 Sr 3.64
Tm1 0.5000 0.5000 0.5000  6 Sm 3.52, 6 Tm 3.63

Computed properties:
crystal system	trigonal
V	36.85	Å³ per atom
space group	R-3m
total moment	0.000	μB per atom

***

Name the least stable of them. run x.

***

Run w
First-principles (PBE) data for SrSm2Tm after structural relaxation, as listed in Alexandria via LeMat-Bulk.

Cell: 5.2323 5.2323 5.2338 Å, 90.00 90.00 90.00°
With the nearest neighbours (Å) after each atom.
Fractional positions:
Sr1 0.0000 0.0000 0.0000  4 Tm 3.70, 8 Sm 3.70
Sm1 0.0000 0.5000 0.5000  4 Sm 3.70, 4 Sr 3.70, 4 Tm 3.70
Sm2 0.5000 0.0000 0.5000  4 Sm 3.70, 4 Sr 3.70, 4 Tm 3.70
Tm1 0.5000 0.5000 0.0000  4 Sr 3.70, 8 Sm 3.70

Computed properties:
crystal system	tetragonal
V	35.82	Å³ per atom
space group	P4/mmm
total moment	0.000	μB per atom

***

Run x
First-principles (PBE) data for SrSm2Tm after structural relaxation, as listed in Alexandria via LeMat-Bulk.

Cell: 12.4340 12.4340 12.4340 Å, 17.09 17.09 17.09°
With the nearest neighbours (Å) after each atom.
Fractional positions:
Sr1 0.0000 0.0000 0.0000  6 Sr 3.69, 6 Sm 3.95-3.96
Sm1 0.5759 0.5759 0.5759  3 Tm 3.52, 6 Sm 3.69
Sm2 0.7571 0.7571 0.7571  3 Tm 3.51, 6 Sm 3.69
Tm1 0.1663 0.1663 0.1663  6 Sm 3.51-3.52, 6 Tm 3.69

Computed properties:
crystal system	trigonal
V	36.19	Å³ per atom
space group	R3m
total moment	0.000	μB per atom

***

Name the least stable of them. run w.